[1]
Computed, not measured: a geometry-optimized TaSiSeBr2 structure at the PBE level of DFT.

a b c (Å): 5.1433 5.1433 5.0607
angles (deg): 90.00 90.00 90.00
Space group P4/mmm (No. 123)
Symmetry-distinct sites (fractional):
Ta1 0.0000 0.0000 0.0000 (multiplicity 1)
Si1 0.5000 0.5000 0.5000 (multiplicity 1)
Se1 0.0000 0.0000 0.5000 (multiplicity 1)
Br1 0.0000 0.5000 0.0000 (multiplicity 2)

Output
For the raw formation energy, the calculation gives 0.3983 eV per atom. The energy above the most stable polymorph in this dataset comes out at 0 meV per atom.


[2]
Computed, not measured: a geometry-optimized TaSiSeBr2 structure at the PBE level of DFT.

a b c (Å): 4.9538 4.9538 5.0929
angles (deg): 90.00 90.00 90.00
Space group P4/mmm (No. 123)
Symmetry-distinct sites (fractional):
Ta1 0.0000 0.0000 0.0000 (multiplicity 1)
Si1 0.5000 0.5000 0.5000 (multiplicity 1)
Se1 0.5000 0.5000 0.0000 (multiplicity 1)
Br1 0.0000 0.5000 0.5000 (multiplicity 2)

Output
For the raw formation energy, the calculation gives 0.9180 eV per atom. The energy above the most stable polymorph in this dataset comes out at 520 meV per atom.


[3]
Computed, not measured: a geometry-optimized Tb4SiSe2Br structure at the PBE level of DFT.

a b c (Å): 7.0933 4.1174 7.2815
angles (deg): 90.00 108.96 90.00
Space group P2/m (No. 10)
Symmetry-distinct sites (fractional):
Tb1 0.2394 0.0000 0.2186 (multiplicity 2)
Tb2 0.2587 0.5000 0.7743 (multiplicity 2)
Si1 0.5000 0.0000 0.0000 (multiplicity 1)
Se1 0.0000 0.0000 0.5000 (multiplicity 1)
Se2 0.0000 0.5000 0.0000 (multiplicity 1)
Br1 0.5000 0.5000 0.5000 (multiplicity 1)

Output
For the raw formation energy, the calculation gives -1.3951 eV per atom.


[4]
Computed, not measured: a geometry-optimized SiTcSe2Br structure at the PBE level of DFT.

a b c (Å): 4.8193 4.8193 5.2386
angles (deg): 90.00 90.00 90.00
Space group P4/mmm (No. 123)
Symmetry-distinct sites (fractional):
Si1 0.0000 0.0000 0.0000 (multiplicity 1)
Tc1 0.5000 0.5000 0.5000 (multiplicity 1)
Se1 0.0000 0.5000 0.5000 (multiplicity 2)
Br1 0.5000 0.5000 0.0000 (multiplicity 1)

Output
For the raw formation energy, the calculation gives 0.6027 eV per atom. The energy above the most stable polymorph in this dataset comes out at 0 meV per atom.


[5]
Computed, not measured: a geometry-optimized SiTcSe2Br structure at the PBE level of DFT.

a b c (Å): 4.9184 4.9184 4.9648
angles (deg): 90.00 90.00 90.00
Space group P4/mmm (No. 123)
Symmetry-distinct sites (fractional):
Si1 0.0000 0.0000 0.0000 (multiplicity 1)
Tc1 0.5000 0.5000 0.5000 (multiplicity 1)
Se1 0.0000 0.5000 0.0000 (multiplicity 2)
Br1 0.0000 0.0000 0.5000 (multiplicity 1)

Output
For the raw formation energy, the calculation gives 0.7659 eV per atom. The energy above the most stable polymorph in this dataset comes out at 163 meV per atom.


[6]
Computed, not measured: a geometry-optimized SiTeSeBr2 structure at the PBE level of DFT.

a b c (Å): 5.4977 5.4977 5.5765
angles (deg): 90.00 90.00 90.00
Space group P4/mmm (No. 123)
Symmetry-distinct sites (fractional):
Si1 0.0000 0.0000 0.0000 (multiplicity 1)
Te1 0.5000 0.5000 0.5000 (multiplicity 1)
Se1 0.5000 0.5000 0.0000 (multiplicity 1)
Br1 0.0000 0.5000 0.5000 (multiplicity 2)

Output
For the raw formation energy, the calculation gives 0.6246 eV per atom. The energy above the most stable polymorph in this dataset comes out at 391 meV per atom.


[7]
Computed, not measured: a geometry-optimized SiTeSeBr2 structure at the PBE level of DFT.

a b c (Å): 4.9506 4.9506 5.4097
angles (deg): 90.00 90.00 90.00
Space group P4/mmm (No. 123)
Symmetry-distinct sites (fractional):
Si1 0.0000 0.0000 0.0000 (multiplicity 1)
Te1 0.5000 0.5000 0.5000 (multiplicity 1)
Se1 0.0000 0.0000 0.5000 (multiplicity 1)
Br1 0.0000 0.5000 0.0000 (multiplicity 2)

Output
For the raw formation energy, the calculation gives 0.2341 eV per atom. The energy above the most stable polymorph in this dataset comes out at 0 meV per atom.


[8]
Computed, not measured: a geometry-optimized SiTeSeBr2 structure at the PBE level of DFT.

a b c (Å): 5.1947 5.1947 5.7294
angles (deg): 90.00 90.00 90.00
Space group P4/mmm (No. 123)
Symmetry-distinct sites (fractional):
Si1 0.0000 0.0000 0.0000 (multiplicity 1)
Te1 0.5000 0.5000 0.0000 (multiplicity 1)
Se1 0.5000 0.5000 0.5000 (multiplicity 1)
Br1 0.0000 0.5000 0.5000 (multiplicity 2)

Output
For the raw formation energy, the calculation gives 0.6031 eV per atom. The energy above the most stable polymorph in this dataset comes out at 369 meV per atom.


[9]
Computed, not measured: a geometry-optimized TiSiSe2Br structure at the PBE level of DFT.

a b c (Å): 4.9942 4.9942 4.9829
angles (deg): 90.00 90.00 90.00
Space group P4/mmm (No. 123)
Symmetry-distinct sites (fractional):
Ti1 0.0000 0.0000 0.0000 (multiplicity 1)
Si1 0.5000 0.5000 0.5000 (multiplicity 1)
Se1 0.0000 0.5000 0.0000 (multiplicity 2)
Br1 0.0000 0.0000 0.5000 (multiplicity 1)

Output
For the raw formation energy, the calculation gives -0.0251 eV per atom. The energy above the most stable polymorph in this dataset comes out at 0 meV per atom.


[10]
Computed, not measured: a geometry-optimized TiSiSeBr2 structure at the PBE level of DFT.

a b c (Å): 5.0352 5.0352 5.0960
angles (deg): 90.00 90.00 90.00
Space group P4/mmm (No. 123)
Symmetry-distinct sites (fractional):
Ti1 0.0000 0.0000 0.0000 (multiplicity 1)
Si1 0.5000 0.5000 0.5000 (multiplicity 1)
Se1 0.5000 0.5000 0.0000 (multiplicity 1)
Br1 0.0000 0.5000 0.5000 (multiplicity 2)

Output
For the raw formation energy, the calculation gives 0.3772 eV per atom. The energy above the most stable polymorph in this dataset comes out at 426 meV per atom.


[11]
Computed, not measured: a geometry-optimized TiSiSe2Br structure at the PBE level of DFT.

a b c (Å): 4.9006 4.9006 4.8709
angles (deg): 90.00 90.00 90.00
Space group P4/mmm (No. 123)
Symmetry-distinct sites (fractional):
Ti1 0.0000 0.0000 0.0000 (multiplicity 1)
Si1 0.5000 0.5000 0.5000 (multiplicity 1)
Se1 0.0000 0.5000 0.5000 (multiplicity 2)
Br1 0.5000 0.5000 0.0000 (multiplicity 1)

Output
For the raw formation energy, the calculation gives 0.3150 eV per atom. The energy above the most stable polymorph in this dataset comes out at 340 meV per atom.


[12]
Computed, not measured: a geometry-optimized TiSiSeBr2 structure at the PBE level of DFT.

a b c (Å): 5.0904 5.0904 5.0628
angles (deg): 90.00 90.00 90.00
Space group P4/mmm (No. 123)
Symmetry-distinct sites (fractional):
Ti1 0.0000 0.0000 0.0000 (multiplicity 1)
Si1 0.5000 0.5000 0.5000 (multiplicity 1)
Se1 0.0000 0.0000 0.5000 (multiplicity 1)
Br1 0.0000 0.5000 0.0000 (multiplicity 2)

Output
For the raw formation energy, the calculation gives -0.0487 eV per atom. The energy above the most stable polymorph in this dataset comes out at 0 meV per atom.


> Number 2 is which compound?

TaSiSeBr2


> Among the records above, which one has the lowest raw formation energy?

Tb4SiSe2Br


> Which of these has the lowest raw formation energy?

Tb4SiSe2Br


Please write out number 5 again, unchanged.
Computed, not measured: a geometry-optimized SiTcSe2Br structure at the PBE level of DFT.

a b c (Å): 4.9184 4.9184 4.9648
angles (deg): 90.00 90.00 90.00
Space group P4/mmm (No. 123)
Symmetry-distinct sites (fractional):
Si1 0.0000 0.0000 0.0000 (multiplicity 1)
Tc1 0.5000 0.5000 0.5000 (multiplicity 1)
Se1 0.0000 0.5000 0.0000 (multiplicity 2)
Br1 0.0000 0.0000 0.5000 (multiplicity 1)

Output
For the raw formation energy, the calculation gives 0.7659 eV per atom. The energy above the most stable polymorph in this dataset comes out at 163 meV per atom.